# 1
Density functional theory data (PBE) for an optimized crystal structure of Zn2MoPd.

## Properties
* space-group type: I-42d (122)
* DFT total energy: -4.252 eV/atom
* DFT formation energy: 0.39 eV per atom
* relative energy among the computed polymorphs: 342 meV per atom

The structure in extended XYZ format:
```
8
Lattice="6.937 0.000 0.000 0.000 6.937 0.000 3.468 3.468 2.686" Properties=species:S:1:pos:R:3 pbc="T T T"
Mo 3.468 3.468 0.000
Mo 3.468 6.937 1.343
Zn 5.274 1.734 0.672
Zn 1.662 5.202 0.672
Zn 5.202 5.131 2.015
Zn 8.671 8.743 2.015
Pd 0.000 0.000 0.000
Pd 6.937 3.468 1.343
```

---

# 2
Density functional theory data (PBE) for an optimized crystal structure of ReHg2.

## Properties
* space-group type: I4/mmm (139)
* DFT total energy: -3.411 eV/atom
* DFT formation energy: 0.94 eV per atom
* relative energy among the computed polymorphs: 388 meV per atom

The structure in extended XYZ format:
```
3
Lattice="-6.250 3.712 0.177 -7.266 -0.236 0.171 6.806 -1.754 1.863" Properties=species:S:1:pos:R:3 pbc="T T T"
Hg -13.368 3.439 0.345
Hg -9.158 2.356 0.236
Re -4.505 1.159 0.116
```

---

# 3
Density functional theory data (PBE) for an optimized crystal structure of LaZrP2S.

## Properties
* ΔE_f (raw): -4.62 eV/f.u.
* space-group type: P4/mmm (123)
* DFT total energy: -6.608 eV/atom
* relative energy among the computed polymorphs: 0 meV per atom

The structure in extended XYZ format:
```
5
Lattice="4.982 0.000 0.000 0.000 4.982 0.000 0.000 0.000 4.966" Properties=species:S:1:pos:R:3 pbc="T T T"
P 0.000 2.491 0.000
P 2.491 0.000 0.000
S 0.000 0.000 2.483
Zr 0.000 0.000 0.000
La 2.491 2.491 2.483
```

---

# 4
Density functional theory data (PBE) for an optimized crystal structure of SeIO2F.

## Properties
* ΔE_f (raw): 0.91 eV/f.u.
* space-group type: P4/mmm (123)
* DFT total energy: -3.182 eV/atom

The structure in extended XYZ format:
```
5
Lattice="-0.067 2.624 -3.128 -3.133 -2.039 -1.643 -3.316 3.006 2.593" Properties=species:S:1:pos:R:3 pbc="T T T"
I 0.000 0.000 0.000
O -1.567 -1.020 -0.822
O -0.034 1.312 -1.564
Se -3.258 1.795 -1.089
F -1.658 1.503 1.297
```

---

# 5
Density functional theory data (PBE) for an optimized crystal structure of ReSb2N2.

## Properties
* ΔE_f (raw): 7.11 eV/f.u.
* space-group type: I4/mmm (139)
* DFT total energy: -6.047 eV/atom
* relative energy among the computed polymorphs: 0 meV per atom

The structure in extended XYZ format:
```
5
Lattice="3.307 0.000 0.000 0.000 3.307 0.000 1.654 1.654 6.580" Properties=species:S:1:pos:R:3 pbc="T T T"
Re 0.000 0.000 0.000
N 3.307 1.654 3.290
N 1.654 3.307 3.290
Sb 1.654 1.654 1.698
Sb 3.307 3.307 4.882
```

---

# 6
Density functional theory data (PBE) for an optimized crystal structure of CdInPO2.

## Properties
* ΔE_f (raw): 1.22 eV/f.u.
* space-group type: P4/mmm (123)
* DFT total energy: -3.552 eV/atom
* relative energy among the computed polymorphs: 289 meV per atom

The structure in extended XYZ format:
```
5
Lattice="-2.873 1.553 2.523 1.600 -2.146 3.141 3.197 4.056 1.143" Properties=species:S:1:pos:R:3 pbc="T T T"
P 1.598 2.028 0.571
Cd 0.000 0.000 0.000
O 0.800 -1.073 1.571
O -1.436 0.777 1.262
In 0.962 1.732 3.404
```